No. 1
Here is a geometry-optimized FeHgSe2 structure from Alexandria. Energies are from GGA-PBE.

Results
Formation energy (no corrections): -0.0385 eV per atom
Volume: 88.6 Å³/cell
Magnetic moment: 1.636 Bohr magnetons per cell

Cell lengths 5.1172, 3.4134, 5.4157 Å; angles 90.00, 110.54, 90.00 degrees
With the nearest neighbours (Å) after each atom.
Space group P2/m (No. 10)
Unique sites:
Fe 0.0000 0.0000 0.0000 [1 per cell]  4 Se 2.37
Hg 0.0000 0.0000 0.5000 [1 per cell]  2 Fe 2.71
Se 0.3400 0.5000 0.1493 [2 per cell]  2 Fe 2.37

***

No. 2
Here is a geometry-optimized FeHg2Se structure from Alexandria. Energies are from GGA-PBE.

Results
Formation energy (no corrections): 0.1223 eV per atom
Volume: 83.7 Å³/cell
Magnetic moment: 0.469 Bohr magnetons per cell

Cell lengths 2.9774, 2.9774, 9.4423 Å; angles 90.00, 90.00, 90.00 degrees
With the nearest neighbours (Å) after each atom.
Space group P4mm (No. 99)
Unique sites:
Fe 0.0000 0.0000 0.0000 [1 per cell]  4 Se 2.41
Hg 0.0000 0.0000 0.5253 [1 per cell]  4 Hg 2.98
Hg 0.5000 0.5000 0.2208 [1 per cell]  4 Fe 2.96, 4 Hg 2.98, 1 Se 3.25
Se 0.5000 0.5000 0.8764 [1 per cell]  4 Fe 2.41

***

No. 3
Here is a geometry-optimized FeHg2Se structure from Alexandria. Energies are from GGA-PBE.

Results
Formation energy (no corrections): 0.4795 eV per atom
Volume: 162.9 Å³/cell
Magnetic moment: 5.915 Bohr magnetons per cell

Cell lengths 4.3446, 4.3446, 8.6286 Å; angles 90.00, 90.00, 90.00 degrees
With the nearest neighbours (Å) after each atom.
Space group I-4m2 (No. 119)
Unique sites:
Fe 0.0000 0.0000 0.0000 [2 per cell]  8 Hg 3.06-3.07, 4 Se 3.06
Hg 0.0000 0.0000 0.5000 [2 per cell]  4 Hg 3.06, 4 Se 3.06, 4 Fe 3.07
Hg 0.0000 0.5000 0.7500 [2 per cell]  4 Hg 3.06, 4 Fe 3.06, 4 Se 3.07
Se 0.0000 0.5000 0.2500 [2 per cell]  8 Hg 3.06-3.07, 4 Fe 3.06

***

No. 4
Here is a geometry-optimized FeHg2Se structure from Alexandria. Energies are from GGA-PBE.

Results
Formation energy (no corrections): 0.3663 eV per atom
Volume: 183.3 Å³/cell
Magnetic moment: 7.111 Bohr magnetons per cell

Cell lengths 5.4882, 8.8128, 3.7898 Å; angles 90.00, 90.00, 90.00 degrees
With the nearest neighbours (Å) after each atom.
Space group Cmmm (No. 65)
Unique sites:
Fe 0.0000 0.0000 0.0000 [2 per cell]  2 Se 2.74, 4 Hg 2.77
Hg 0.0000 0.2298 0.5000 [4 per cell]  2 Hg 2.77, 2 Fe 2.77, 2 Se 3.04
Se 0.0000 0.5000 0.0000 [2 per cell]  2 Fe 2.74, 4 Hg 3.04

***

No. 5
Here is a geometry-optimized Fe2HgSe2 structure from Alexandria. Energies are from GGA-PBE.

Results
Offset from the most stable computed form: 0.464 eV per atom
Formation energy (no corrections): 0.2566 eV per atom
Volume: 190.8 Å³/cell
Magnetic moment: 10.949 Bohr magnetons per cell

Cell lengths 4.8870, 4.8870, 7.9906 Å; angles 90.00, 90.00, 90.00 degrees
With the nearest neighbours (Å) after each atom.
Space group I4/mmm (No. 139)
Unique sites:
Fe 0.0000 0.0000 0.1453 [4 per cell]  1 Fe 2.32, 4 Se 2.58
Hg 0.0000 0.0000 0.5000 [2 per cell]  2 Fe 2.83, 8 Se 3.16
Se 0.0000 0.5000 0.2500 [4 per cell]  4 Fe 2.58

***

No. 6
Here is a geometry-optimized FeHgSe2 structure from Alexandria. Energies are from GGA-PBE.

Results
Formation energy (no corrections): 0.3540 eV per atom
Volume: 173.7 Å³/cell
Magnetic moment: 6.920 Bohr magnetons per cell

Cell lengths 5.9622, 7.7294, 4.2406 Å; angles 90.00, 117.28, 90.00 degrees
With the nearest neighbours (Å) after each atom.
Space group C2/m (No. 12)
Unique sites:
Fe 0.0000 0.0000 0.0000 [2 per cell]  4 Se 2.75, 2 Hg 2.98
Hg 0.0000 0.5000 0.0000 [2 per cell]  4 Se 2.75, 2 Fe 2.98
Se 0.2500 0.2500 0.5000 [4 per cell]  2 Hg 2.75, 2 Fe 2.75, 2 Se 2.98

***

No. 7
Here is a geometry-optimized FeHgSe2 structure from Alexandria. Energies are from GGA-PBE.

Results
Formation energy (no corrections): -0.0207 eV per atom
Volume: 207.4 Å³/cell
Magnetic moment: 4.345 Bohr magnetons per cell

Cell lengths 11.6337, 3.3859, 5.4254 Å; angles 90.00, 103.96, 90.00 degrees
With the nearest neighbours (Å) after each atom.
Space group Cm (No. 8)
Unique sites:
Fe 0.0000 0.0000 0.0000 [2 per cell]  4 Se 2.34-2.40, 1 Hg 2.59
Hg 0.1983 0.0000 0.8634 [2 per cell]  1 Fe 2.59, 1 Se 2.66
Se 0.0732 0.5000 0.2923 [2 per cell]  2 Fe 2.34
Se 0.3995 0.0000 0.7131 [2 per cell]  2 Fe 2.40, 1 Hg 2.66

***

No. 8
Here is a geometry-optimized FeHgSe2 structure from Alexandria. Energies are from GGA-PBE.

Results
Formation energy (no corrections): -0.0916 eV per atom
Volume: 422.4 Å³/cell
Magnetic moment: 15.721 Bohr magnetons per cell

Cell lengths 6.0138, 6.0138, 11.6786 Å; angles 90.00, 90.00, 90.00 degrees
With the nearest neighbours (Å) after each atom.
Space group I-42d (No. 122)
Unique sites:
Fe 0.0000 0.0000 0.0000 [4 per cell]  4 Se 2.44
Hg 0.0000 0.0000 0.5000 [4 per cell]  4 Se 2.74
Se 0.2077 0.2500 0.1250 [8 per cell]  2 Fe 2.44